No. 1
# NpTa4S8 (PBE, relaxed)
# Formation energy without anion corrections in eV per atom: -1.0872
# VASP energy in eV per atom: -8.2696
# N(E_F) in states/eV/atom: 0.58
data_NpTa4S8
_chemical_formula_sum 'Np2 Ta8 S16'
_symmetry_space_group_name_H-M 'C 1 2/m 1'
_symmetry_Int_Tables_number 12
_symmetry_space_group_name_Hall '-C 2y'
_cell_length_a 11.772
_cell_length_b 6.919
_cell_length_c 8.648
_cell_angle_alpha 90.00
_cell_angle_beta 129.25
_cell_angle_gamma 90.00
loop_
_atom_site_label
_atom_site_type_symbol
_atom_site_fract_x
_atom_site_fract_y
_atom_site_fract_z
Np1 Np 0.000 0.000 0.000
Ta1 Ta 0.000 0.297 0.500
Ta2 Ta 0.220 0.500 0.488
S1 S 0.000 0.000 0.317
S2 S 0.047 0.500 0.770
S3 S 0.226 0.252 0.270

***

No. 2
# NpTaS2 (PBE, relaxed)
# Formation energy without anion corrections in eV per atom: -0.4870
# VASP energy in eV per atom: -8.7490
# N(E_F) in states/eV/atom: 2.76
data_NpTaS2
_chemical_formula_sum 'Np1 Ta1 S2'
_symmetry_space_group_name_H-M 'P 1'
_symmetry_Int_Tables_number 1
_symmetry_space_group_name_Hall 'P 1'
_cell_length_a 3.988
_cell_length_b 4.143
_cell_length_c 6.807
_cell_angle_alpha 72.91
_cell_angle_beta 73.02
_cell_angle_gamma 61.49
loop_
_atom_site_label
_atom_site_type_symbol
_atom_site_fract_x
_atom_site_fract_y
_atom_site_fract_z
Np1 Np 0.000 0.000 0.000
Ta1 Ta 0.525 0.544 0.408
S1 S 0.394 0.417 0.797
S2 S 0.849 0.890 0.418

***

No. 3
# NpTaS3 (PBE, relaxed)
# Formation energy without anion corrections in eV per atom: -1.1730
# VASP energy in eV per atom: -8.6082
# N(E_F) in states/eV/atom: 1.17
data_NpTaS3
_chemical_formula_sum 'Np4 Ta4 S12'
_symmetry_space_group_name_H-M 'P n m a'
_symmetry_Int_Tables_number 62
_symmetry_space_group_name_Hall '-P 2ac 2n'
_cell_length_a 7.979
_cell_length_b 3.548
_cell_length_c 13.350
_cell_angle_alpha 90.00
_cell_angle_beta 90.00
_cell_angle_gamma 90.00
loop_
_atom_site_label
_atom_site_type_symbol
_atom_site_fract_x
_atom_site_fract_y
_atom_site_fract_z
Np1 Np 0.130 0.250 0.191
Ta1 Ta 0.139 0.750 0.460
S1 S 0.023 0.750 0.628
S2 S 0.163 0.750 0.028
S3 S 0.168 0.250 0.806

***

No. 4
# NpTaS4 (PBE, relaxed)
# Formation energy without anion corrections in eV per atom: -0.8747
# VASP energy in eV per atom: -7.7586
# N(E_F) in states/eV/atom: 1.19
data_NpTaS4
_chemical_formula_sum 'Np4 Ta4 S16'
_symmetry_space_group_name_H-M 'C 1 2/c 1'
_symmetry_Int_Tables_number 15
_symmetry_space_group_name_Hall '-C 2yc'
_cell_length_a 7.991
_cell_length_b 9.929
_cell_length_c 6.356
_cell_angle_alpha 90.00
_cell_angle_beta 92.15
_cell_angle_gamma 90.00
loop_
_atom_site_label
_atom_site_type_symbol
_atom_site_fract_x
_atom_site_fract_y
_atom_site_fract_z
Np1 Np 0.000 0.003 0.250
Ta1 Ta 0.000 0.392 0.250
S1 S 0.063 0.219 0.496
S2 S 0.197 0.456 0.957

***

No. 5
# Np2TaS6 (PBE, relaxed)
# Formation energy without anion corrections in eV per atom: -1.0580
# VASP energy in eV per atom: -8.0023
# N(E_F) in states/eV/atom: 1.59
data_Np2TaS6
_chemical_formula_sum 'Np4 Ta2 S12'
_symmetry_space_group_name_H-M 'P 42/m n m'
_symmetry_Int_Tables_number 136
_symmetry_space_group_name_Hall '-P 4n 2n'
_cell_length_a 6.191
_cell_length_b 6.191
_cell_length_c 11.629
_cell_angle_alpha 90.00
_cell_angle_beta 90.00
_cell_angle_gamma 90.00
loop_
_atom_site_label
_atom_site_type_symbol
_atom_site_fract_x
_atom_site_fract_y
_atom_site_fract_z
Np1 Np 0.000 0.000 0.172
Ta1 Ta 0.000 0.000 0.500
S1 S 0.193 0.193 0.349
S2 S 0.210 0.210 0.000

***

No. 6
# NpTaS4 (PBE, relaxed)
# Formation energy without anion corrections in eV per atom: -1.0360
# VASP energy in eV per atom: -7.9198
# N(E_F) in states/eV/atom: 1.39
data_NpTaS4
_chemical_formula_sum 'Np4 Ta4 S16'
_symmetry_space_group_name_H-M 'C 1 2/c 1'
_symmetry_Int_Tables_number 15
_symmetry_space_group_name_Hall '-C 2yc'
_cell_length_a 12.970
_cell_length_b 6.502
_cell_length_c 6.462
_cell_angle_alpha 90.00
_cell_angle_beta 105.33
_cell_angle_gamma 90.00
loop_
_atom_site_label
_atom_site_type_symbol
_atom_site_fract_x
_atom_site_fract_y
_atom_site_fract_z
Np1 Np 0.250 0.250 0.000
Ta1 Ta 0.000 0.179 0.250
S1 S 0.112 0.073 0.613
S2 S 0.129 0.432 0.244

***

No. 7
# Np2Ta2S7 (PBE, relaxed)
# Formation energy without anion corrections in eV per atom: -1.0106
# VASP energy in eV per atom: -8.1450
# N(E_F) in states/eV/atom: 1.29
data_Np2Ta2S7
_chemical_formula_sum 'Np4 Ta4 S14'
_symmetry_space_group_name_H-M 'I m m 2'
_symmetry_Int_Tables_number 44
_symmetry_space_group_name_Hall 'I 2 -2'
_cell_length_a 3.583
_cell_length_b 13.851
_cell_length_c 8.209
_cell_angle_alpha 90.00
_cell_angle_beta 90.00
_cell_angle_gamma 90.00
loop_
_atom_site_label
_atom_site_type_symbol
_atom_site_fract_x
_atom_site_fract_y
_atom_site_fract_z
Np1 Np 0.000 0.230 0.000
Ta1 Ta 0.000 0.000 0.762
Ta2 Ta 0.000 0.500 0.823
S1 S 0.000 0.000 0.091
S2 S 0.000 0.099 0.499
S3 S 0.000 0.329 0.719
S4 S 0.000 0.373 0.304

***

No. 8
# Np2TaTl2S6 (PBE, relaxed)
# Formation energy without anion corrections in eV per atom: -0.9899
# VASP energy in eV per atom: -7.1018
# N(E_F) in states/eV/atom: 1.85
data_Np2TaTl2S6
_chemical_formula_sum 'Np4 Ta2 Tl4 S12'
_symmetry_space_group_name_H-M 'C 1 2/m 1'
_symmetry_Int_Tables_number 12
_symmetry_space_group_name_Hall '-C 2y'
_cell_length_a 6.660
_cell_length_b 11.461
_cell_length_c 8.009
_cell_angle_alpha 90.00
_cell_angle_beta 106.75
_cell_angle_gamma 90.00
loop_
_atom_site_label
_atom_site_type_symbol
_atom_site_fract_x
_atom_site_fract_y
_atom_site_fract_z
Np1 Np 0.000 0.166 0.000
Ta1 Ta 0.000 0.500 0.000
Tl1 Tl 0.000 0.328 0.500
S1 S 0.222 0.346 0.191
S2 S 0.239 0.500 0.806

***

No. 9
# Np3TaTl3S8 (PBE, relaxed)
# Formation energy without anion corrections in eV per atom: -1.0001
# VASP energy in eV per atom: -7.0530
# N(E_F) in states/eV/atom: 1.98
data_Np3TaTl3S8
_chemical_formula_sum 'Np9 Ta3 Tl9 S24'
_symmetry_space_group_name_H-M 'R -3 m'
_symmetry_Int_Tables_number 166
_symmetry_space_group_name_Hall '-R 3 2"'
_cell_length_a 7.7736
_cell_length_b 7.7736
_cell_length_c 23.1269
_cell_angle_alpha 90.00
_cell_angle_beta 90.00
_cell_angle_gamma 120.00
loop_
_atom_site_label
_atom_site_type_symbol
_atom_site_fract_x
_atom_site_fract_y
_atom_site_fract_z
Np1 Np 0.0000 0.5000 0.0000
Ta1 Ta 0.0000 0.0000 0.0000
Tl1 Tl 0.0000 0.5000 0.5000
S1 S 0.0000 0.0000 0.2669
S2 S 0.0256 0.5128 0.7295

***

No. 10
# Tb3NpS6 (PBE, relaxed)
# Formation energy without anion corrections in eV per atom: -1.8926
# VASP energy in eV per atom: -7.0522
# N(E_F) in states/eV/atom: 0.82
data_Tb3NpS6
_chemical_formula_sum 'Tb6 Np2 S12'
_symmetry_space_group_name_H-M 'P 1 21/m 1'
_symmetry_Int_Tables_number 11
_symmetry_space_group_name_Hall '-P 2yb'
_cell_length_a 11.092
_cell_length_b 3.968
_cell_length_c 11.300
_cell_angle_alpha 90.00
_cell_angle_beta 108.46
_cell_angle_gamma 90.00
loop_
_atom_site_label
_atom_site_type_symbol
_atom_site_fract_x
_atom_site_fract_y
_atom_site_fract_z
Tb1 Tb 0.068 0.250 0.168
Tb2 Tb 0.181 0.750 0.503
Tb3 Tb 0.340 0.250 0.918
Np1 Np 0.453 0.250 0.311
S1 S 0.022 0.250 0.387
S2 S 0.101 0.250 0.935
S3 S 0.246 0.750 0.277
S4 S 0.309 0.750 0.751
S5 S 0.388 0.250 0.540
S6 S 0.418 0.750 0.100

***

No. 11
# Tb3NpS4 (PBE, relaxed)
# Formation energy without anion corrections in eV per atom: -1.8676
# VASP energy in eV per atom: -7.2852
# N(E_F) in states/eV/atom: 0.93
data_Tb3NpS4
_chemical_formula_sum 'Tb9 Np3 S12'
_symmetry_space_group_name_H-M 'R -3 m'
_symmetry_Int_Tables_number 166
_symmetry_space_group_name_Hall '-R 3 2"'
_cell_length_a 3.9297
_cell_length_b 3.9297
_cell_length_c 38.1983
_cell_angle_alpha 90.00
_cell_angle_beta 90.00
_cell_angle_gamma 120.00
loop_
_atom_site_label
_atom_site_type_symbol
_atom_site_fract_x
_atom_site_fract_y
_atom_site_fract_z
Tb1 Tb 0.0000 0.0000 0.0000
Tb2 Tb 0.0000 0.0000 0.2486
Np1 Np 0.0000 0.0000 0.5000
S1 S 0.0000 0.0000 0.1257
S2 S 0.0000 0.0000 0.3752

***

No. 12
# Tb6NpS12 (PBE, relaxed)
# Formation energy without anion corrections in eV per atom: -1.8116
# VASP energy in eV per atom: -6.5617
data_Tb6NpS12
_chemical_formula_sum 'Tb18 Np3 S36'
_symmetry_space_group_name_H-M 'R -3'
_symmetry_Int_Tables_number 148
_symmetry_space_group_name_Hall '-R 3'
_cell_length_a 11.9286
_cell_length_b 11.9286
_cell_length_c 11.3596
_cell_angle_alpha 90.00
_cell_angle_beta 90.00
_cell_angle_gamma 120.00
loop_
_atom_site_label
_atom_site_type_symbol
_atom_site_fract_x
_atom_site_fract_y
_atom_site_fract_z
Tb1 Tb 0.0431 0.2659 0.1326
Np1 Np 0.0000 0.0000 0.5000
S1 S 0.0299 0.2177 0.8941
S2 S 0.0494 0.1989 0.3788

***

No. 13
# TbNp4S7 (PBE, relaxed)
# Formation energy without anion corrections in eV per atom: -1.4627
# VASP energy in eV per atom: -8.5698
# N(E_F) in states/eV/atom: 3.15
data_TbNp4S7
_chemical_formula_sum 'Tb2 Np8 S14'
_symmetry_space_group_name_H-M 'C 1 m 1'
_symmetry_Int_Tables_number 8
_symmetry_space_group_name_Hall 'C -2y'
_cell_length_a 13.053
_cell_length_b 3.845
_cell_length_c 11.470
_cell_angle_alpha 90.00
_cell_angle_beta 105.07
_cell_angle_gamma 90.00
loop_
_atom_site_label
_atom_site_type_symbol
_atom_site_fract_x
_atom_site_fract_y
_atom_site_fract_z
Tb1 Tb 0.000 0.000 0.000
Np1 Np 0.118 0.000 0.425
Np2 Np 0.232 0.000 0.848
Np3 Np 0.318 0.500 0.242
Np4 Np 0.419 0.000 0.612
S1 S 0.074 0.000 0.642
S2 S 0.115 0.500 0.922
S3 S 0.160 0.000 0.207
S4 S 0.274 0.500 0.476
S5 S 0.351 0.500 0.772
S6 S 0.380 0.000 0.076
S7 S 0.462 0.000 0.374

***

No. 14
# Tb2NpS4 (PBE, relaxed)
# Formation energy without anion corrections in eV per atom: -1.8141
# VASP energy in eV per atom: -7.3443
# N(E_F) in states/eV/atom: 1.51
data_Tb2NpS4
_chemical_formula_sum 'Tb8 Np4 S16'
_symmetry_space_group_name_H-M 'C m c m'
_symmetry_Int_Tables_number 63
_symmetry_space_group_name_Hall '-C 2c 2'
_cell_length_a 3.868
_cell_length_b 12.993
_cell_length_c 13.056
_cell_angle_alpha 90.00
_cell_angle_beta 90.00
_cell_angle_gamma 90.00
loop_
_atom_site_label
_atom_site_type_symbol
_atom_site_fract_x
_atom_site_fract_y
_atom_site_fract_z
Tb1 Tb 0.000 0.132 0.068
Np1 Np 0.000 0.379 0.250
S1 S 0.000 0.032 0.250
S2 S 0.000 0.226 0.624
S3 S 0.000 0.500 0.000

***

No. 15
# Tb5NpS6 (PBE, relaxed)
# Formation energy without anion corrections in eV per atom: -1.9046
# VASP energy in eV per atom: -6.9760
# N(E_F) in states/eV/atom: 1.24
data_Tb5NpS6
_chemical_formula_sum 'Tb10 Np2 S12'
_symmetry_space_group_name_H-M 'C 1 2/m 1'
_symmetry_Int_Tables_number 12
_symmetry_space_group_name_Hall '-C 2y'
_cell_length_a 6.794
_cell_length_b 11.778
_cell_length_c 6.807
_cell_angle_alpha 90.00
_cell_angle_beta 109.56
_cell_angle_gamma 90.00
loop_
_atom_site_label
_atom_site_type_symbol
_atom_site_fract_x
_atom_site_fract_y
_atom_site_fract_z
Tb1 Tb 0.000 0.000 0.000
Tb2 Tb 0.000 0.168 0.500
Tb3 Tb 0.000 0.331 0.000
Np1 Np 0.000 0.500 0.500
S1 S 0.249 0.500 0.249
S2 S 0.250 0.166 0.250

***

No. 16
# Tb2NpS4 (PBE, relaxed)
# Formation energy without anion corrections in eV per atom: -1.8406
# VASP energy in eV per atom: -7.3707
# N(E_F) in states/eV/atom: 1.37
data_Tb2NpS4
_chemical_formula_sum 'Tb8 Np4 S16'
_symmetry_space_group_name_H-M 'P n m a'
_symmetry_Int_Tables_number 62
_symmetry_space_group_name_Hall '-P 2ac 2n'
_cell_length_a 13.010
_cell_length_b 3.854
_cell_length_c 13.036
_cell_angle_alpha 90.00
_cell_angle_beta 90.00
_cell_angle_gamma 90.00
loop_
_atom_site_label
_atom_site_type_symbol
_atom_site_fract_x
_atom_site_fract_y
_atom_site_fract_z
Tb1 Tb 0.110 0.250 0.080
Tb2 Tb 0.148 0.250 0.705
Np1 Np 0.126 0.750 0.422
S1 S 0.027 0.750 0.617
S2 S 0.032 0.250 0.881
S3 S 0.212 0.250 0.270
S4 S 0.248 0.750 0.021

***

No. 17
# Tb2Np5S12 (PBE, relaxed)
# Formation energy without anion corrections in eV per atom: -1.4148
# VASP energy in eV per atom: -7.9144
# N(E_F) in states/eV/atom: 2.26
data_Tb2Np5S12
_chemical_formula_sum 'Tb4 Np10 S24'
_symmetry_space_group_name_H-M 'C 1 2/m 1'
_symmetry_Int_Tables_number 12
_symmetry_space_group_name_Hall '-C 2y'
_cell_length_a 14.139
_cell_length_b 7.827
_cell_length_c 9.363
_cell_angle_alpha 90.00
_cell_angle_beta 110.80
_cell_angle_gamma 90.00
loop_
_atom_site_label
_atom_site_type_symbol
_atom_site_fract_x
_atom_site_fract_y
_atom_site_fract_z
Tb1 Tb 0.000 0.246 0.000
Np1 Np 0.000 0.000 0.500
Np2 Np 0.195 0.500 0.380
Np3 Np 0.233 0.500 0.959
S1 S 0.023 0.500 0.811
S2 S 0.063 0.000 0.839
S3 S 0.137 0.224 0.504
S4 S 0.202 0.276 0.154

***

No. 18
# Tb4NpS7 (PBE, relaxed)
# Formation energy without anion corrections in eV per atom: -1.9175
# VASP energy in eV per atom: -6.9470
# N(E_F) in states/eV/atom: 0.72
data_Tb4NpS7
_chemical_formula_sum 'Tb8 Np2 S14'
_symmetry_space_group_name_H-M 'C 1 m 1'
_symmetry_Int_Tables_number 8
_symmetry_space_group_name_Hall 'C -2y'
_cell_length_a 12.934
_cell_length_b 3.836
_cell_length_c 11.667
_cell_angle_alpha 90.00
_cell_angle_beta 104.72
_cell_angle_gamma 90.00
loop_
_atom_site_label
_atom_site_type_symbol
_atom_site_fract_x
_atom_site_fract_y
_atom_site_fract_z
Tb1 Tb 0.000 0.000 0.000
Tb2 Tb 0.083 0.500 0.389
Tb3 Tb 0.187 0.000 0.767
Tb4 Tb 0.385 0.500 0.578
Np1 Np 0.270 0.500 0.155
S1 S 0.044 0.500 0.628
S2 S 0.123 0.500 0.926
S3 S 0.144 0.000 0.228
S4 S 0.226 0.000 0.527
S5 S 0.343 0.500 0.793
S6 S 0.384 0.000 0.076
S7 S 0.427 0.500 0.363

***

No. 19
# TbNp5S6 (PBE, relaxed)
# Formation energy without anion corrections in eV per atom: -1.4623
# VASP energy in eV per atom: -9.3039
# N(E_F) in states/eV/atom: 3.66
data_TbNp5S6
_chemical_formula_sum 'Tb2 Np10 S12'
_symmetry_space_group_name_H-M 'C 1 2/m 1'
_symmetry_Int_Tables_number 12
_symmetry_space_group_name_Hall '-C 2y'
_cell_length_a 6.741
_cell_length_b 11.684
_cell_length_c 6.784
_cell_angle_alpha 90.00
_cell_angle_beta 109.36
_cell_angle_gamma 90.00
loop_
_atom_site_label
_atom_site_type_symbol
_atom_site_fract_x
_atom_site_fract_y
_atom_site_fract_z
Tb1 Tb 0.000 0.000 0.000
Np1 Np 0.000 0.165 0.500
Np2 Np 0.000 0.333 0.000
Np3 Np 0.000 0.500 0.500
S1 S 0.249 0.333 0.749
S2 S 0.249 0.500 0.250